A plane-wave DFT calculation with GGA-PBE was carried out for a relaxed structure of K4NiIr3Se8.

**Uncorrected energy**: -4.634 eV per atom
**Raw formation energy**: -0.594 eV/atom
**Density of states at the Fermi level**: 0.239 states/eV per atom
**Spin magnetization**: 0.9 μB/cell

Cell lengths 8.4321, 8.4321, 8.4321 Å; angles 55.05, 55.05, 55.05 degrees
Fractional coordinates of all 16 atoms:
K 0.0000 0.0000 0.0000
K 0.0000 0.5000 0.5000
K 0.5000 0.0000 0.5000
K 0.5000 0.5000 0.0000
Ni 0.5000 0.5000 0.5000
Ir 0.0000 0.0000 0.5000
Ir 0.0000 0.5000 0.0000
Ir 0.5000 0.0000 0.0000
Se 0.2223 0.2223 0.2223
Se 0.2225 0.7218 0.7218
Se 0.2782 0.2782 0.7775
Se 0.2782 0.7775 0.2782
Se 0.7218 0.2225 0.7218
Se 0.7218 0.7218 0.2225
Se 0.7775 0.2782 0.2782
Se 0.7777 0.7777 0.7777